! PBE+U Li4Mn2Cr3Fe3O16, relaxed; values from VASP
! volume	282	Å³ per cell
! magnetization	0.86	μB/atom
! total DFT energy (no corrections)	-6.653	eV/atom
! density of states at the Fermi level	4.5	states/eV/f.u.
&SYSTEM
  ibrav = 0, nat = 28, ntyp = 5
/
ATOMIC_SPECIES
O 16.00 O.upf
Li 6.94 Li.upf
Cr 52.00 Cr.upf
Fe 55.84 Fe.upf
Mn 54.94 Mn.upf
CELL_PARAMETERS angstrom
-0.151 1.853 5.558
-5.106 1.617 2.381
-1.435 -8.865 2.895
ATOMIC_POSITIONS angstrom
O -5.499 1.726 8.447
O -4.854 -1.630 4.925
O -2.332 -2.284 3.806
O -3.724 -3.149 8.435
O -0.518 -0.453 3.246
O -4.928 -0.644 7.731
O -3.670 -4.030 6.022
O -2.700 -0.557 1.847
O -4.802 -5.622 7.905
O -4.712 -6.630 5.141
O -2.181 -7.463 3.954
O -2.264 -6.513 6.711
O -5.897 -3.253 7.041
O -0.999 -6.138 2.013
O -2.346 -1.511 6.534
O -2.752 0.258 4.273
Li -5.258 3.415 7.945
Li -2.605 -4.156 4.370
Li -3.672 1.424 5.620
Li -5.942 -1.045 9.342
Cr -2.999 -4.891 7.718
Cr -1.293 -1.963 2.162
Cr -5.430 -5.007 6.159
Fe -5.503 -4.089 8.884
Fe -3.808 -1.169 3.332
Fe -1.365 -1.053 4.899
Mn -4.217 -2.285 6.744
Mn -1.786 1.045 2.708